# 1
# Nb3Mo2W3 PBE relaxed
# Energy of formation in meV per atom: -94
# Polymorph energy (0 for the lowest one) in meV per atom: 0.0
data_Nb3Mo2W3
_space_group_name_H-M_alt 'P 1'
_space_group_IT_number 1
_cell_length_a 4.5693
_cell_length_b 4.5507
_cell_length_c 7.1966
_cell_angle_alpha 108.44
_cell_angle_beta 108.51
_cell_angle_gamma 90.00
loop_
_space_group_symop_operation_xyz
'x,y,z'
loop_
_atom_site_label
_atom_site_type_symbol
_atom_site_fract_x
_atom_site_fract_y
_atom_site_fract_z
_atom_site_occupancy
Nb1 Nb 0.1269 0.6266 0.2538 1
Nb2 Nb 0.8731 0.3734 0.7462 1
Nb3 Nb 0.0000 0.0000 0.0000 1
Mo1 Mo 0.2499 0.2497 0.4998 1
Mo2 Mo 0.7501 0.7503 0.5002 1
W1 W 0.6263 0.1264 0.2526 1
W2 W 0.5000 0.5000 0.0000 1
W3 W 0.3737 0.8736 0.7474 1

# 2
# TbSbAu2 PBE relaxed
# Formation energy (no corrections) in eV/f.u.: -2.4
data_TbSbAu2
_space_group_name_H-M_alt 'P 1'
_space_group_IT_number 1
_cell_length_a 4.5570
_cell_length_b 4.4127
_cell_length_c 4.4127
_cell_angle_alpha 90.00
_cell_angle_beta 90.00
_cell_angle_gamma 90.00
loop_
_space_group_symop_operation_xyz
'x,y,z'
loop_
_atom_site_label
_atom_site_type_symbol
_atom_site_fract_x
_atom_site_fract_y
_atom_site_fract_z
_atom_site_occupancy
Tb1 Tb 0.5000 0.5000 0.5000 1
Au1 Au 0.0000 0.0000 0.5000 1
Au2 Au 0.0000 0.5000 0.0000 1
Sb1 Sb 0.5000 0.0000 0.0000 1

# 3
# TlC2Cl PBE relaxed
# Formation energy (no corrections) in eV/f.u.: 11.3
# Polymorph energy (0 for the lowest one) in meV per atom: 349.4
data_TlC2Cl
_space_group_name_H-M_alt 'P 1'
_space_group_IT_number 1
_cell_length_a 4.4400
_cell_length_b 4.4400
_cell_length_c 4.4400
_cell_angle_alpha 60.00
_cell_angle_beta 60.00
_cell_angle_gamma 60.00
loop_
_space_group_symop_operation_xyz
'x,y,z'
loop_
_atom_site_label
_atom_site_type_symbol
_atom_site_fract_x
_atom_site_fract_y
_atom_site_fract_z
_atom_site_occupancy
Tl1 Tl 0.5000 0.5000 0.5000 1
C1 C 0.2500 0.2500 0.2500 1
C2 C 0.7500 0.7500 0.7500 1
Cl1 Cl 0.0000 0.0000 0.0000 1

| no. | total magnetic moment (μB per atom) |
| --- | --- |
| 1 | 0.00 |
| 2 | 0.00 |
| 3 | 0.00 |